DFT (PBE) results for a relaxed BaSiBr2 crystal.

Lattice parameters (Å, degrees): 4.224 6.193 4.740 90.00 90.00 90.00
Positions (direct):
1 Ba 0.000 0.500 0.500
2 Br 0.000 0.000 0.000
3 Br 0.500 0.500 0.000
4 Si 0.500 0.000 0.500

## Properties
Electronic total energy: -3.372 eV per atom
Space-group type: Pmmm, No. 47
Energy above the most stable polymorph in this dataset: 152.5 meV/atom



DFT (PBE) results for a relaxed Ba2Hf2Se5 crystal.

Lattice parameters (Å, degrees): 5.296 7.603 7.900 110.18 90.00 110.38
Positions (direct):
1 Ba 0.396 0.792 0.697
2 Ba 0.604 0.208 0.303
3 Hf 0.164 0.329 0.900
4 Hf 0.836 0.671 0.100
5 Se 0.356 0.712 0.102
6 Se 0.644 0.288 0.898
7 Se 0.151 0.302 0.572
8 Se 0.849 0.698 0.428
9 Se 0.000 0.000 0.000

## Properties
Electronic total energy: -6.054 eV per atom
Space-group type: C2/m, No. 12



DFT (PBE) results for a relaxed TmTcPb crystal.

Lattice parameters (Å, degrees): 3.173 3.173 14.554 90.00 90.00 90.00
Positions (direct):
1 Pb 0.000 0.500 0.622
2 Pb 0.500 0.000 0.378
3 Tm 0.500 0.000 0.814
4 Tm 0.000 0.500 0.186
5 Tc 0.000 0.500 0.954
6 Tc 0.500 0.000 0.046

## Properties
Electronic total energy: -6.256 eV per atom
DFT formation energy: -0.074 eV/atom
Space-group type: P4/nmm, No. 129



DFT (PBE) results for a relaxed PrDy3Ag crystal.

Lattice parameters (Å, degrees): 6.799 6.799 8.703 86.60 122.03 113.39
Positions (direct):
1 Pr 0.662 0.071 0.732
2 Pr 0.338 0.929 0.268
3 Dy 0.745 0.913 0.151
4 Dy 0.238 0.406 0.151
5 Dy 0.762 0.594 0.849
6 Dy 0.815 0.438 0.253
7 Dy 0.255 0.087 0.849
8 Dy 0.185 0.562 0.747
9 Ag 0.767 0.731 0.497
10 Ag 0.233 0.269 0.503

## Properties
Electronic total energy: -4.275 eV per atom
DFT formation energy: 0.012 eV/atom
Space-group type: C2/m, No. 12



DFT (PBE) results for a relaxed CsK2RbIn crystal.

Lattice parameters (Å, degrees): 7.136 7.136 7.411 90.00 90.00 90.00
Positions (direct):
1 Cs 0.000 0.000 0.500
2 K 0.000 0.500 0.000
3 K 0.500 0.000 0.000
4 Rb 0.500 0.500 0.500
5 In 0.000 0.000 0.000

## Properties
Electronic total energy: -1.272 eV per atom
DFT formation energy: 0.079 eV/atom
Space-group type: P4/mmm, No. 123
Energy above the most stable polymorph in this dataset: 26.6 meV/atom



DFT (PBE) results for a relaxed NbSbS3 crystal.

Lattice parameters (Å, degrees): 4.938 4.938 4.938 90.00 90.00 90.00
Positions (direct):
1 Sb 0.000 0.000 0.000
2 Nb 0.500 0.500 0.500
3 S 0.000 0.500 0.000
4 S 0.000 0.000 0.500
5 S 0.500 0.000 0.000

## Properties
Electronic total energy: -4.549 eV per atom
Space-group type: Pm-3m, No. 221
Energy above the most stable polymorph in this dataset: 1322.3 meV/atom



DFT (PBE) results for a relaxed Sr2CrCl crystal.

Lattice parameters (Å, degrees): 8.988 8.988 3.979 102.62 102.62 25.57
Positions (direct):
1 Sr 0.944 0.944 0.942
2 Sr 0.708 0.708 0.711
3 Cl 0.530 0.530 0.527
4 Cr 0.318 0.318 0.320

## Properties
Electronic total energy: -4.123 eV per atom
Space-group type: Cm, No. 8
Energy above the most stable polymorph in this dataset: 4.1 meV/atom



DFT (PBE) results for a relaxed In12Ga3Te5 crystal.

Lattice parameters (Å, degrees): 15.225 15.225 15.225 109.47 109.47 109.47
Positions (direct):
1 Ga 0.750 0.375 0.125
2 Ga 0.875 0.750 0.125
3 Ga 0.375 0.750 0.625
4 Ga 0.250 0.125 0.375
5 Ga 0.875 0.125 0.250
6 Ga 0.375 0.625 0.250
7 Ga 0.625 0.375 0.750
8 Ga 0.125 0.875 0.750
9 Ga 0.750 0.875 0.625
10 Ga 0.625 0.250 0.375
11 Ga 0.125 0.250 0.875
12 Ga 0.250 0.625 0.875
13 Te 0.125 0.375 0.250
14 Te 0.000 0.500 0.000
15 Te 0.000 0.000 0.000
16 Te 0.375 0.250 0.125
17 Te 0.500 0.000 0.500
18 Te 0.500 0.500 0.000
19 Te 0.125 0.750 0.375
20 Te 0.750 0.125 0.875
21 Te 0.750 0.625 0.375
22 Te 0.375 0.125 0.750
23 Te 0.625 0.875 0.250
24 Te 0.500 0.500 0.500
25 Te 0.500 0.000 0.000
26 Te 0.000 0.000 0.500
27 Te 0.250 0.375 0.625
28 Te 0.250 0.875 0.125
29 Te 0.000 0.500 0.500
30 Te 0.875 0.250 0.625
31 Te 0.625 0.750 0.875
32 Te 0.875 0.625 0.750
33 In 0.741 0.136 0.072
34 In 0.331 0.572 0.436
35 In 0.928 0.364 0.259
36 In 0.572 0.241 0.136
37 In 0.604 0.741 0.669
38 In 0.928 0.564 0.169
39 In 0.331 0.759 0.396
40 In 0.064 0.896 0.136
41 In 0.564 0.928 0.669
42 In 0.741 0.604 0.169
43 In 0.759 0.428 0.364
44 In 0.831 0.936 0.072
45 In 0.136 0.741 0.572
46 In 0.364 0.436 0.104
47 In 0.104 0.936 0.364
48 In 0.396 0.136 0.564
49 In 0.104 0.169 0.241
50 In 0.428 0.669 0.064
51 In 0.831 0.896 0.259
52 In 0.136 0.396 0.064
53 In 0.364 0.928 0.759
54 In 0.564 0.636 0.396
55 In 0.936 0.831 0.572
56 In 0.759 0.331 0.896
57 In 0.436 0.364 0.604
58 In 0.064 0.169 0.428
59 In 0.241 0.669 0.104
60 In 0.169 0.104 0.741
61 In 0.636 0.072 0.241
62 In 0.864 0.604 0.936
63 In 0.572 0.331 0.936
64 In 0.604 0.864 0.436
65 In 0.896 0.831 0.759
66 In 0.896 0.064 0.636
67 In 0.864 0.259 0.428
68 In 0.169 0.064 0.928
69 In 0.636 0.564 0.896
70 In 0.436 0.072 0.331
71 In 0.259 0.396 0.831
72 In 0.241 0.572 0.636
73 In 0.936 0.104 0.864
74 In 0.669 0.241 0.604
75 In 0.428 0.759 0.864
76 In 0.072 0.436 0.831
77 In 0.396 0.259 0.331
78 In 0.072 0.636 0.741
79 In 0.669 0.428 0.564
80 In 0.259 0.864 0.928

## Properties
Electronic total energy: -2.866 eV per atom
Space-group type: Ia-3d, No. 230



DFT (PBE) results for a relaxed NaNiI2 crystal.

Lattice parameters (Å, degrees): 4.117 4.117 9.176 77.04 77.04 60.00
Positions (direct):
1 I 0.111 0.111 0.666
2 I 0.889 0.889 0.334
3 Ni 0.500 0.500 0.500
4 Na 0.000 0.000 0.000

## Properties
Electronic total energy: -2.728 eV per atom
Space-group type: R-3m, No. 166
Energy above the most stable polymorph in this dataset: 277.9 meV/atom



DFT (PBE) results for a relaxed HfV4Ru crystal.

Lattice parameters (Å, degrees): 5.016 5.016 5.016 60.00 60.00 60.00
Positions (direct):
1 Ru 0.250 0.250 0.250
2 Hf 0.000 0.000 0.000
3 V 0.625 0.625 0.125
4 V 0.625 0.125 0.625
5 V 0.625 0.625 0.625
6 V 0.125 0.625 0.625

## Properties
Electronic total energy: -9.366 eV per atom
DFT formation energy: -0.082 eV/atom
Space-group type: F-43m, No. 216



DFT (PBE) results for a relaxed B2C crystal.

Lattice parameters (Å, degrees): 3.764 4.730 5.549 100.36 88.98 66.27
Positions (direct):
1 B 0.253 0.050 0.759
2 B 0.306 0.397 0.896
3 B 0.134 0.253 0.517
4 B 0.735 0.761 0.692
5 B 0.144 0.883 0.494
6 B 0.280 0.982 0.243
7 B 0.345 0.330 0.280
8 B 0.727 0.642 0.167
9 C 0.016 0.030 0.009
10 C 0.973 0.616 0.429
11 C 0.637 0.334 0.080
12 C 0.950 0.721 0.935

## Properties
Electronic total energy: -7.141 eV per atom
DFT formation energy: 0.385 eV/atom
Space-group type: P1, No. 1
Energy above the most stable polymorph in this dataset: 200.2 meV/atom



DFT (PBE) results for a relaxed YW2Au crystal.

Lattice parameters (Å, degrees): 2.929 2.929 9.338 90.00 90.00 109.29
Positions (direct):
1 Au 0.500 0.500 0.766
2 W 0.000 0.000 0.011
3 W 0.500 0.500 0.225
4 Y 0.000 0.000 0.497

## Properties
Electronic total energy: -8.628 eV per atom
DFT formation energy: 0.284 eV/atom
Space-group type: Cmm2, No. 35
Energy above the most stable polymorph in this dataset: 146.2 meV/atom



DFT (PBE) results for a relaxed Cs2NbI6Br crystal.

Lattice parameters (Å, degrees): 8.908 8.908 8.939 60.12 60.12 90.00
Positions (direct):
1 Cs 0.750 0.250 0.500
2 Cs 0.250 0.750 0.500
3 I 0.221 0.221 0.558
4 I 0.779 0.779 0.442
5 I 0.222 0.222 0.000
6 I 0.778 0.778 0.000
7 I 0.778 0.222 0.000
8 I 0.222 0.778 0.000
9 Nb 0.000 0.000 0.000
10 Br 0.500 0.500 0.000

## Properties
Electronic total energy: -3.069 eV per atom
Space-group type: I4/mmm, No. 139
Energy above the most stable polymorph in this dataset: 71.5 meV/atom



DFT (PBE) results for a relaxed RePt3O crystal.

Lattice parameters (Å, degrees): 4.236 4.236 4.236 90.00 90.00 90.00
Positions (direct):
1 Re 0.500 0.500 0.500
2 O 0.000 0.000 0.000
3 Pt 0.000 0.500 0.000
4 Pt 0.000 0.000 0.500
5 Pt 0.500 0.000 0.000

## Properties
Electronic total energy: -6.181 eV per atom
Space-group type: Pm-3m, No. 221
Energy above the most stable polymorph in this dataset: 0.0 meV/atom



DFT (PBE) results for a relaxed MnPd5 crystal.

Lattice parameters (Å, degrees): 6.118 6.118 6.749 116.95 116.95 90.00
Positions (direct):
1 Mn 0.250 0.250 0.500
2 Mn 0.750 0.750 0.500
3 Pd 0.000 0.000 0.000
4 Pd 0.500 0.500 0.000
5 Pd 0.291 0.791 0.277
6 Pd 0.486 0.291 0.277
7 Pd 0.791 0.986 0.277
8 Pd 0.514 0.709 0.723
9 Pd 0.209 0.014 0.723
10 Pd 0.014 0.514 0.723
11 Pd 0.709 0.209 0.723
12 Pd 0.986 0.486 0.277

## Properties
Electronic total energy: -5.808 eV per atom
DFT formation energy: 0.047 eV/atom
Space-group type: I4/mcm, No. 140



DFT (PBE) results for a relaxed CaY2Re crystal.

Lattice parameters (Å, degrees): 4.852 4.857 4.249 90.00 90.00 90.00
Positions (direct):
1 Y 0.000 0.000 0.000
2 Y 0.500 0.500 0.000
3 Re 0.000 0.500 0.500
4 Ca 0.500 0.000 0.500

## Properties
Electronic total energy: -6.366 eV per atom
DFT formation energy: 0.479 eV/atom
Space-group type: P4/mmm, No. 123
Energy above the most stable polymorph in this dataset: 339.3 meV/atom



DFT (PBE) results for a relaxed Bi2PbAu3 crystal.

Lattice parameters (Å, degrees): 5.654 11.350 7.442 139.69 90.00 90.00
Positions (direct):
1 Bi 0.750 0.450 0.669
2 Bi 0.750 0.781 0.331
3 Bi 0.250 0.550 0.331
4 Bi 0.250 0.219 0.669
5 Pb 0.750 0.247 0.000
6 Pb 0.250 0.753 0.000
7 Au 0.500 0.000 0.000
8 Au 0.000 0.000 0.000
9 Au 0.750 0.659 0.569
10 Au 0.250 0.341 0.431
11 Au 0.750 0.090 0.431
12 Au 0.250 0.910 0.569

## Properties
Electronic total energy: -3.554 eV per atom
DFT formation energy: -0.003 eV/atom
Space-group type: Cmcm, No. 63



DFT (PBE) results for a relaxed RbTl3Br crystal.

Lattice parameters (Å, degrees): 6.647 6.647 6.647 90.00 90.00 90.00
Positions (direct):
1 Tl 0.000 0.500 0.000
2 Tl 0.000 0.000 0.500
3 Tl 0.500 0.000 0.000
4 Br 0.500 0.500 0.500
5 Rb 0.000 0.000 0.000

## Properties
Electronic total energy: -1.523 eV per atom
Space-group type: Pm-3m, No. 221
Energy above the most stable polymorph in this dataset: 567.8 meV/atom



DFT (PBE) results for a relaxed Y2SbIr crystal.

Lattice parameters (Å, degrees): 5.988 5.988 5.988 138.65 138.65 59.91
Positions (direct):
1 Ir 0.500 0.500 0.000
2 Sb 0.750 0.250 0.500
3 Y 0.000 0.000 0.000
4 Y 0.250 0.750 0.500

## Properties
Electronic total energy: -7.145 eV per atom
Space-group type: I-4m2, No. 119



DFT (PBE) results for a relaxed Li2TmBr4 crystal.

Lattice parameters (Å, degrees): 6.717 6.717 6.717 106.04 106.04 116.57
Positions (direct):
1 Li 0.250 0.750 0.500
2 Li 0.750 0.250 0.500
3 Tm 0.500 0.500 0.000
4 Br 0.359 0.188 0.546
5 Br 0.812 0.359 0.171
6 Br 0.188 0.641 0.829
7 Br 0.641 0.812 0.454

## Properties
Electronic total energy: -3.525 eV per atom
Space-group type: I4/m, No. 87